{"formula": "CsCI3", "functional": "PBE", "state": "optimized geometry", "lattice": [[-1.751, -0.457, -5.177], [-4.881, -1.733, 1.804], [-1.786, 5.184, 0.147]], "species": ["Cs", "I", "I", "I", "C"], "fractional_positions": [[0.500, 0.500, 0.500], [0.000, 0.500, 0.000], [0.000, 0.000, 0.500], [0.500, 0.000, 0.000], [0.000, 0.000, 0.000]], "e_above_lowest_polymorph_mev_per_atom": 0, "m_tot_mub_per_atom": 0.000, "formation_energy_uncorrected_ev_per_atom": 0.390, "energy_ev_per_atom": -2.5558}

{"formula": "Cs2CI", "functional": "PBE", "state": "optimized geometry", "lattice": [[-4.592, 4.592, 5.161], [4.592, -4.592, 5.161], [4.592, 4.592, -5.161]], "species": ["Cs", "Cs", "Cs", "Cs", "C", "C", "I", "I"], "fractional_positions": [[0.572, 0.125, 0.947], [0.178, 0.625, 0.053], [0.875, 0.822, 0.447], [0.375, 0.428, 0.553], [0.250, 0.750, 0.500], [0.500, 0.500, 0.000], [0.750, 0.250, 0.500], [0.000, 0.000, 0.000]], "e_above_lowest_polymorph_mev_per_atom": 0, "m_tot_mub_per_atom": 0.750, "formation_energy_uncorrected_ev_per_atom": 0.414, "energy_ev_per_atom": -2.7067}

{"formula": "Cs2InCI6", "functional": "PBE", "state": "optimized geometry", "lattice": [[-0.796, -7.658, 2.794], [-0.898, -2.708, -7.678], [4.877, -5.926, -2.849]], "species": ["Cs", "Cs", "I", "I", "I", "I", "I", "I", "C", "In"], "fractional_positions": [[0.750, 0.250, 0.500], [0.250, 0.750, 0.500], [0.265, 0.265, 0.471], [0.735, 0.735, 0.529], [0.265, 0.265, 0.000], [0.735, 0.735, 0.000], [0.735, 0.265, 0.000], [0.265, 0.735, 0.000], [0.500, 0.500, 0.000], [0.000, 0.000, 0.000]], "m_tot_mub_per_atom": 0.000, "formation_energy_uncorrected_ev_per_atom": -0.284, "energy_ev_per_atom": -2.5806}